# Cu2SiSb

A PBEsol-optimized structure of Cu2SiSb (meta-GGA SCAN, Alexandria via LeMat-Bulk).

Unit cell a=6.3436 b=6.3436 c=6.3436 alpha=90.00 beta=90.00 gamma=90.00
Space group Fm-3m (No. 225)
One atom of each set of equivalent atoms:
1 Cu 0.2500 0.2500 0.2500 x8
2 Si 0.0000 0.0000 0.0000 x4
3 Sb 0.0000 0.0000 0.5000 x4

Results
- offset from the most stable computed form (meV per atom) = 187


# SmCuSb2

A PBEsol-optimized structure of SmCuSb2 (meta-GGA SCAN, Alexandria via LeMat-Bulk).

Unit cell a=4.2823 b=4.2823 c=9.8311 alpha=90.00 beta=90.00 gamma=90.00
Space group P4/nmm (No. 129, origin choice 2)
One atom of each set of equivalent atoms:
1 Sm 0.2500 0.2500 0.2490 x2
2 Cu 0.2500 0.7500 0.0000 x2
3 Sb 0.2500 0.2500 0.8435 x2
4 Sb 0.2500 0.7500 0.5000 x2


# Sm3Cu3Sb4

A PBEsol-optimized structure of Sm3Cu3Sb4 (meta-GGA SCAN, Alexandria via LeMat-Bulk).

Unit cell a=9.5413 b=9.5413 c=9.5413 alpha=90.00 beta=90.00 gamma=90.00
Space group I-43d (No. 220)
One atom of each set of equivalent atoms:
1 Sm 0.0000 0.2500 0.3750 x12
2 Cu 0.0000 0.2500 0.8750 x12
3 Sb 0.0809 0.0809 0.0809 x16


# CuSnSb2

A PBEsol-optimized structure of CuSnSb2 (meta-GGA SCAN, Alexandria via LeMat-Bulk).

Unit cell a=6.1459 b=6.1459 c=12.2741 alpha=90.00 beta=90.00 gamma=90.00
Space group I-42d (No. 122)
One atom of each set of equivalent atoms:
1 Cu 0.0000 0.0000 0.0000 x4
2 Sn 0.0000 0.0000 0.5000 x4
3 Sb 0.2023 0.2500 0.1250 x8


Calculated values (eV/atom) of uncorrected formation energy for the records, taken in order: 0.482; -0.737; -0.862; 0.068.